# 1
SrCaSmEr (GGA-PBE, relaxed); calculated formation energy = 0.196 eV per atom
1.0
-3.6927 -3.7247 2.8794
1.2276 -1.6880 5.6075
-3.3469 2.0156 4.5316
Er Ca Sr Sm
1 1 1 1
direct
0.0000 0.0000 0.0000
0.5000 0.5000 0.5000
0.2500 0.2500 0.2500
0.7500 0.7500 0.7500


# 2
PbAuF2 (GGA-PBE, relaxed); raw formation energy = -1052 meV per atom; energy relative to the lowest polymorph listed for this composition = 30 meV per atom
1.0
8.3267 -0.0043 -0.0025
7.6633 3.2568 -0.0025
7.6633 1.5588 2.8595
F Au Pb
2 1 1
direct
0.0856 0.0856 0.0856
0.9144 0.9144 0.9144
0.0000 0.0000 0.0000
0.5000 0.5000 0.5000


# 3
TlReCl2 (GGA-PBE, relaxed); raw formation energy = 1002 meV per atom; energy relative to the lowest polymorph listed for this composition = 909 meV per atom
1.0
-2.1671 -1.2803 4.5349
2.4463 -3.2505 3.2173
2.0238 1.7737 4.4339
Re Cl Tl
1 2 1
direct
0.5000 0.5000 0.5000
0.0000 0.0000 0.0000
0.7500 0.7500 0.7500
0.2500 0.2500 0.2500